# 1
Entry from Alexandria: a relaxed Mo2Os2W crystal (GGA-PBE).

Calculated values
Space-group type: P4/mbm
ΔE to the lowest computed polymorph (meV per atom): 0
Formation enthalpy at 0 K (eV/atom): 0.27

Cell lengths 7.4535, 7.4535, 2.8628 Å; angles 90.00, 90.00, 90.00 degrees
Atoms (fractional coordinates):
1 Mo 0.1679 0.3321 0.0000
2 Mo 0.3321 0.8321 0.0000
3 Mo 0.6679 0.1679 0.0000
4 Mo 0.8321 0.6679 0.0000
5 Os 0.1306 0.6306 0.5000
6 Os 0.3694 0.1306 0.5000
7 Os 0.6306 0.8694 0.5000
8 Os 0.8694 0.3694 0.5000
9 W 0.0000 0.0000 0.5000
10 W 0.5000 0.5000 0.5000



# 2
Entry from Alexandria: a relaxed PmPr4Nd2Th crystal (GGA-PBE).

Calculated values
Space-group type: P2/m
Formation enthalpy at 0 K (eV/atom): 0.04

Cell lengths 6.3748, 3.6754, 12.2321 Å; angles 90.00, 100.01, 90.00 degrees
Atoms (fractional coordinates):
1 Pm 0.0000 0.0000 0.0000
2 Pr 0.2429 0.0000 0.7451
3 Pr 0.2470 0.5000 0.2517
4 Pr 0.7530 0.5000 0.7483
5 Pr 0.7571 0.0000 0.2549
6 Nd 0.5000 0.0000 0.5000
7 Nd 0.5000 0.5000 0.0000
8 Th 0.0000 0.5000 0.5000



# 3
Entry from Alexandria: a relaxed BaAgRu3 crystal (GGA-PBE).

Calculated values
Space-group type: Pm-3m
ΔE to the lowest computed polymorph (meV per atom): 921
Formation enthalpy at 0 K (eV/atom): 2.59

Cell lengths 5.0207, 5.0207, 5.0207 Å; angles 90.00, 90.00, 90.00 degrees
Atoms (fractional coordinates):
1 Ba 0.0000 0.0000 0.0000
2 Ag 0.5000 0.5000 0.5000
3 Ru 0.0000 0.0000 0.5000
4 Ru 0.0000 0.5000 0.0000
5 Ru 0.5000 0.0000 0.0000



# 4
Entry from Alexandria: a relaxed Li2MgTe crystal (GGA-PBE).

Calculated values
ΔE_f (raw) (eV/atom): -0.304
Space-group type: I-42d
ΔE to the lowest computed polymorph (meV per atom): 234

Cell lengths 4.3747, 4.3747, 19.7916 Å; angles 90.00, 90.00, 90.00 degrees
Atoms (fractional coordinates):
1 Li 0.2252 0.2500 0.1250
2 Li 0.2500 0.7252 0.3750
3 Li 0.2500 0.7748 0.8750
4 Li 0.2748 0.2500 0.6250
5 Li 0.7252 0.7500 0.6250
6 Li 0.7500 0.2252 0.8750
7 Li 0.7500 0.2748 0.3750
8 Li 0.7748 0.7500 0.1250
9 Mg 0.0000 0.0000 0.5000
10 Mg 0.0000 0.5000 0.7500
11 Mg 0.5000 0.0000 0.2500
12 Mg 0.5000 0.5000 0.0000
13 Te 0.0000 0.0000 0.0000
14 Te 0.0000 0.5000 0.2500
15 Te 0.5000 0.0000 0.7500
16 Te 0.5000 0.5000 0.5000



# 5
Entry from Alexandria: a relaxed CaLaPrCd crystal (GGA-PBE).

Calculated values
Space-group type: F-43m
ΔE to the lowest computed polymorph (meV per atom): 79
Formation enthalpy at 0 K (eV/atom): -0.07

Cell lengths 8.0762, 8.0762, 8.0762 Å; angles 90.00, 90.00, 90.00 degrees
Atoms (fractional coordinates):
1 Ca 0.0000 0.0000 0.0000
2 Ca 0.0000 0.5000 0.5000
3 Ca 0.5000 0.0000 0.5000
4 Ca 0.5000 0.5000 0.0000
5 La 0.2500 0.2500 0.7500
6 La 0.2500 0.7500 0.2500
7 La 0.7500 0.2500 0.2500
8 La 0.7500 0.7500 0.7500
9 Pr 0.2500 0.2500 0.2500
10 Pr 0.2500 0.7500 0.7500
11 Pr 0.7500 0.2500 0.7500
12 Pr 0.7500 0.7500 0.2500
13 Cd 0.0000 0.0000 0.5000
14 Cd 0.0000 0.5000 0.0000
15 Cd 0.5000 0.0000 0.0000
16 Cd 0.5000 0.5000 0.5000



# 6
Entry from Alexandria: a relaxed DyPaSnAu crystal (GGA-PBE).

Calculated values
Space-group type: F-43m
Formation enthalpy at 0 K (eV/atom): -0.34

Cell lengths 7.4118, 7.4118, 7.4118 Å; angles 90.00, 90.00, 90.00 degrees
Atoms (fractional coordinates):
1 Dy 0.0000 0.0000 0.0000
2 Dy 0.0000 0.5000 0.5000
3 Dy 0.5000 0.0000 0.5000
4 Dy 0.5000 0.5000 0.0000
5 Pa 0.0000 0.0000 0.5000
6 Pa 0.0000 0.5000 0.0000
7 Pa 0.5000 0.0000 0.0000
8 Pa 0.5000 0.5000 0.5000
9 Sn 0.2500 0.2500 0.7500
10 Sn 0.2500 0.7500 0.2500
11 Sn 0.7500 0.2500 0.2500
12 Sn 0.7500 0.7500 0.7500
13 Au 0.2500 0.2500 0.2500
14 Au 0.2500 0.7500 0.7500
15 Au 0.7500 0.2500 0.7500
16 Au 0.7500 0.7500 0.2500



# 7
Entry from Alexandria: a relaxed AcHg3Ge3 crystal (GGA-PBE).

Calculated values
Space-group type: Pm-3n
Formation enthalpy at 0 K (eV/atom): 0.16

Cell lengths 7.4041, 7.4041, 7.4041 Å; angles 90.00, 90.00, 90.00 degrees
Atoms (fractional coordinates):
1 Ac 0.0000 0.0000 0.0000
2 Ac 0.5000 0.5000 0.5000
3 Hg 0.0000 0.2500 0.5000
4 Hg 0.0000 0.7500 0.5000
5 Hg 0.2500 0.5000 0.0000
6 Hg 0.5000 0.0000 0.2500
7 Hg 0.5000 0.0000 0.7500
8 Hg 0.7500 0.5000 0.0000
9 Ge 0.0000 0.5000 0.2500
10 Ge 0.0000 0.5000 0.7500
11 Ge 0.2500 0.0000 0.5000
12 Ge 0.5000 0.2500 0.0000
13 Ge 0.5000 0.7500 0.0000
14 Ge 0.7500 0.0000 0.5000



# 8
Entry from Alexandria: a relaxed Ho3I3N crystal (GGA-PBE).

Calculated values
ΔE_f (raw) (eV/atom): -1.209
Space-group type: R-3

Cell lengths 11.7792, 11.7792, 11.7792 Å; angles 32.72, 32.72, 32.72 degrees
Atoms (fractional coordinates):
1 Ho 0.1070 0.4616 0.8161
2 Ho 0.1839 0.8930 0.5384
3 Ho 0.4616 0.8161 0.1070
4 Ho 0.5384 0.1839 0.8930
5 Ho 0.8161 0.1070 0.4616
6 Ho 0.8930 0.5384 0.1839
7 I 0.0699 0.7261 0.3980
8 I 0.2739 0.6020 0.9301
9 I 0.3980 0.0699 0.7261
10 I 0.6020 0.9301 0.2739
11 I 0.7261 0.3980 0.0699
12 I 0.9301 0.2739 0.6020
13 N 0.1667 0.1667 0.1667
14 N 0.8333 0.8333 0.8333



Summary of DOS at the Fermi energy in states/eV/atom
0.770; 1.694; 1.278; 0.769; 1.253; 2.221; 0.223; 0.447
(order as listed above)
Summary of energy in eV/atom
-11.141; -5.068; -3.931; -2.445; -3.223; -5.680; -2.532; -5.025
(order as listed above)